1.
The following is a DFT calculation (PBE) of a relaxed CaMg2Au4 crystal.

## Properties
Relative energy among the computed polymorphs   46 meV/atom
E   -45.0 eV/cell
Energy of formation from the pure elements   -13.90 kcal/mol of atoms

Geometry as CIF:
```
data_CaMg2Au4
_symmetry_space_group_name_H-M 'I m m m'
_symmetry_Int_Tables_number 71
_symmetry_space_group_name_Hall '-I 2 2'
_cell_length_a 3.5157
_cell_length_b 4.4259
_cell_length_c 18.9764
_cell_angle_alpha 90.00
_cell_angle_beta 90.00
_cell_angle_gamma 90.00
loop_
_atom_site_label
_atom_site_type_symbol
_atom_site_fract_x
_atom_site_fract_y
_atom_site_fract_z
Ca1 Ca 0.0000 0.0000 0.0000
Mg1 Mg 0.0000 0.5000 0.1922
Au1 Au 0.0000 0.0000 0.4272
Au2 Au 0.0000 0.5000 0.3353
```



2.
The following is a DFT calculation (PBE) of a relaxed Ca2MgAu2 crystal.

## Properties
E   -28.1 eV/cell
Energy of formation from the pure elements   -8.85 kcal/mol of atoms

Geometry as CIF:
```
data_Ca2MgAu2
_symmetry_space_group_name_H-M 'I 4/m m m'
_symmetry_Int_Tables_number 139
_symmetry_space_group_name_Hall '-I 4 2'
_cell_length_a 4.8268
_cell_length_b 4.8268
_cell_length_c 12.1665
_cell_angle_alpha 90.00
_cell_angle_beta 90.00
_cell_angle_gamma 90.00
loop_
_atom_site_label
_atom_site_type_symbol
_atom_site_fract_x
_atom_site_fract_y
_atom_site_fract_z
Ca1 Ca 0.0000 0.5000 0.2500
Mg1 Mg 0.0000 0.0000 0.0000
Au1 Au 0.0000 0.0000 0.3896
```



3.
The following is a DFT calculation (PBE) of a relaxed CaMg2Au6 crystal.

## Properties
Relative energy among the computed polymorphs   0 meV/atom
E   -117.2 eV/cell
Energy of formation from the pure elements   -11.41 kcal/mol of atoms

Geometry as CIF:
```
data_CaMg2Au6
_symmetry_space_group_name_H-M 'C 1 2/c 1'
_symmetry_Int_Tables_number 15
_cell_length_a 13.8875
_cell_length_b 9.8798
_cell_length_c 5.1101
_cell_angle_alpha 90.00
_cell_angle_beta 99.72
_cell_angle_gamma 90.00
loop_
_symmetry_equiv_pos_as_xyz
'x,y,z'
'-x,-y,-z'
'-x,y,-z+1/2'
'x,-y,z+1/2'
'x+1/2,y+1/2,z'
'-x+1/2,-y+1/2,-z'
'-x+1/2,y+1/2,-z+1/2'
'x+1/2,-y+1/2,z+1/2'
loop_
_atom_site_label
_atom_site_type_symbol
_atom_site_fract_x
_atom_site_fract_y
_atom_site_fract_z
Ca1 Ca 0.0000 0.1233 0.2500
Mg1 Mg 0.1636 0.3752 0.0975
Au1 Au 0.0575 0.3817 0.5391
Au2 Au 0.1257 0.1367 0.8068
Au3 Au 0.2295 0.1221 0.3509
```



4.
The following is a DFT calculation (PBE) of a relaxed CaMg3Au crystal.

## Properties
Relative energy among the computed polymorphs   1357 meV/atom
E   -5.1 eV/cell
Energy of formation from the pure elements   23.00 kcal/mol of atoms

Geometry as CIF:
```
data_CaMg3Au
_symmetry_space_group_name_H-M 'P m -3 m'
_symmetry_Int_Tables_number 221
_symmetry_space_group_name_Hall '-P 4 2 3'
_cell_length_a 6.1392
_cell_length_b 6.1392
_cell_length_c 6.1392
_cell_angle_alpha 90.00
_cell_angle_beta 90.00
_cell_angle_gamma 90.00
loop_
_atom_site_label
_atom_site_type_symbol
_atom_site_fract_x
_atom_site_fract_y
_atom_site_fract_z
Ca1 Ca 0.0000 0.0000 0.0000
Mg1 Mg 0.0000 0.0000 0.5000
Au1 Au 0.5000 0.5000 0.5000
```



5.
The following is a DFT calculation (PBE) of a relaxed CaMgAu6 crystal.

## Properties
Relative energy among the computed polymorphs   25 meV/atom
E   -26.7 eV/cell
Energy of formation from the pure elements   -9.99 kcal/mol of atoms

Geometry as CIF:
```
data_CaMgAu6
_symmetry_space_group_name_H-M 'P 4/m m m'
_symmetry_Int_Tables_number 123
_symmetry_space_group_name_Hall '-P 4 2'
_cell_length_a 4.2358
_cell_length_b 4.2358
_cell_length_c 8.4866
_cell_angle_alpha 90.00
_cell_angle_beta 90.00
_cell_angle_gamma 90.00
loop_
_atom_site_label
_atom_site_type_symbol
_atom_site_fract_x
_atom_site_fract_y
_atom_site_fract_z
Ca1 Ca 0.0000 0.0000 0.0000
Mg1 Mg 0.0000 0.0000 0.5000
Au1 Au 0.0000 0.5000 0.2621
Au2 Au 0.5000 0.5000 0.0000
Au3 Au 0.5000 0.5000 0.5000
```



6.
The following is a DFT calculation (PBE) of a relaxed Ca2MgAu3 crystal.

## Properties
E   -39.3 eV/cell
Energy of formation from the pure elements   -16.28 kcal/mol of atoms

Geometry as CIF:
```
data_Ca2MgAu3
_symmetry_space_group_name_H-M 'P -3 m 1'
_symmetry_Int_Tables_number 164
_symmetry_space_group_name_Hall '-P 3 2"'
_cell_length_a 5.0470
_cell_length_b 5.0470
_cell_length_c 12.1212
_cell_angle_alpha 90.00
_cell_angle_beta 90.00
_cell_angle_gamma 120.00
loop_
_atom_site_label
_atom_site_type_symbol
_atom_site_fract_x
_atom_site_fract_y
_atom_site_fract_z
Ca1 Ca 0.0000 0.0000 0.0000
Ca2 Ca 0.0000 0.0000 0.5000
Ca3 Ca 0.3333 0.6667 0.1779
Mg1 Mg 0.3333 0.6667 0.6640
Au1 Au 0.0000 0.0000 0.2540
Au2 Au 0.3333 0.6667 0.4281
Au3 Au 0.3333 0.6667 0.9075
```



Number 1: spin magnetization 0.000 μB per formula unit. Number 2: spin magnetization 0.000 μB per formula unit. Number 3: spin magnetization 0.000 μB per formula unit. Number 4: spin magnetization 0.000 μB per formula unit. Number 5: spin magnetization 0.000 μB per formula unit. Number 6: spin magnetization 0.000 μB per formula unit.